Here is a geometry-optimized CuBiSbF structure from OQMD. Energies are from PBE.

Computed properties:
energy above the lowest structure with this stoichiometry	0.0	meV per atom

abc: 11.0361 11.0361 11.0361
angles: 22.24 22.24 22.24
Element x y z (fractional)
Cu 0.1902 0.1902 0.1902
Cu 0.8098 0.8098 0.8098
Bi 0.3888 0.3888 0.3888
Bi 0.6112 0.6112 0.6112
Sb 0.1105 0.1105 0.1105
Sb 0.8895 0.8895 0.8895
F 0.3082 0.3082 0.3082
F 0.6918 0.6918 0.6918